# 1
Density functional theory data (PBE) for an optimized crystal structure of PuUSe2.

Computed properties:
The crystal system is trigonal. As for the energy above the most stable polymorph in this dataset: 0.0000 eV per atom.

a = 4.026 Å, b = 4.026 Å, c = 7.334 Å
α = 74.07°, β = 74.07°, γ = 60.00°
Last column: magnetic moment on the atom in μB.
Atoms (fractional coordinates):
1 U 0.000 0.000 0.000  2.59
2 Se 0.250 0.250 0.250  -0.07
3 Se 0.750 0.750 0.750  -0.07
4 Pu 0.500 0.500 0.500  5.42



# 2
Density functional theory data (PBE) for an optimized crystal structure of PuUSe2.

Computed properties:
The crystal system is trigonal. As for the energy above the most stable polymorph in this dataset: 0.0912 eV per atom.

a = 3.864 Å, b = 3.864 Å, c = 7.905 Å
α = 75.85°, β = 75.85°, γ = 60.00°
Last column: magnetic moment on the atom in μB.
Atoms (fractional coordinates):
1 Pu 0.670 0.670 0.991  5.39
2 U 0.497 0.497 0.508  -2.69
3 Se 0.082 0.082 0.753  -0.01
4 Se 0.251 0.251 0.248  -0.01



# 3
Density functional theory data (PBE) for an optimized crystal structure of PuU2Se3.

Computed properties:
The crystal system is monoclinic.

a = 5.774 Å, b = 8.144 Å, c = 12.291 Å
α = 90.00°, β = 90.00°, γ = 89.95°
Last column: magnetic moment on the atom in μB.
Atoms (fractional coordinates):
1 Pu 0.250 0.874 0.083  5.28
2 Pu 0.250 0.374 0.417  5.28
3 Pu 0.750 0.626 0.583  5.28
4 Pu 0.750 0.126 0.917  5.28
5 U 0.251 0.875 0.751  -2.41
6 U 0.251 0.375 0.749  -2.41
7 U 0.250 0.877 0.416  -2.42
8 U 0.250 0.377 0.084  -2.42
9 U 0.750 0.623 0.916  -2.42
10 U 0.750 0.123 0.584  -2.42
11 U 0.749 0.625 0.251  -2.41
12 U 0.749 0.125 0.249  -2.41
13 Se 0.250 0.626 0.583  -0.01
14 Se 0.250 0.126 0.917  -0.01
15 Se 0.250 0.624 0.915  0.04
16 Se 0.250 0.124 0.585  0.04
17 Se 0.249 0.626 0.251  0.02
18 Se 0.249 0.126 0.249  0.02
19 Se 0.751 0.874 0.751  0.02
20 Se 0.751 0.374 0.749  0.02
21 Se 0.750 0.876 0.415  0.04
22 Se 0.750 0.376 0.085  0.04
23 Se 0.750 0.874 0.083  -0.01
24 Se 0.750 0.374 0.417  -0.01



# 4
Density functional theory data (PBE) for an optimized crystal structure of Pu2USe.

Computed properties:
The crystal system is trigonal. As for the energy above the most stable polymorph in this dataset: 0.0000 eV per atom.

a = 3.714 Å, b = 3.714 Å, c = 7.185 Å
α = 75.02°, β = 75.02°, γ = 60.00°
Last column: magnetic moment on the atom in μB.
Atoms (fractional coordinates):
1 U 0.000 0.000 0.000  -0.41
2 Se 0.500 0.500 0.500  -0.09
3 Pu 0.260 0.260 0.219  4.08
4 Pu 0.740 0.740 0.781  4.08



# 5
Density functional theory data (PBE) for an optimized crystal structure of PuU3Se4.

Computed properties:
The crystal system is monoclinic. As for the energy above the most stable polymorph in this dataset: 0.0000 eV per atom.

a = 3.912 Å, b = 6.813 Å, c = 7.479 Å
α = 72.55°, β = 90.00°, γ = 90.00°
Last column: magnetic moment on the atom in μB.
Atoms (fractional coordinates):
1 U 0.500 0.000 0.500  -2.43
2 U 0.000 0.000 0.000  2.41
3 U 0.000 0.500 0.500  -2.38
4 Se 0.000 0.750 0.751  -0.01
5 Se 0.500 0.750 0.250  0.00
6 Se 0.000 0.250 0.249  -0.01
7 Se 0.500 0.250 0.750  0.00
8 Pu 0.500 0.500 0.000  5.34



# 6
Density functional theory data (PBE) for an optimized crystal structure of PuUSe.

Computed properties:
The crystal system is trigonal. As for the energy above the most stable polymorph in this dataset: 0.0000 eV per atom.

a = 3.573 Å, b = 3.573 Å, c = 5.367 Å
α = 90.00°, β = 90.00°, γ = 120.00°
Atoms (fractional coordinates):
1 U 0.333 0.667 0.621
2 Se 0.000 0.000 0.007
3 Pu 0.667 0.333 0.372



# 7
Density functional theory data (PBE) for an optimized crystal structure of Pu3USe4.

Computed properties:
The crystal system is cubic.

a = 5.830 Å, b = 5.830 Å, c = 5.830 Å
α = 90.00°, β = 90.00°, γ = 90.00°
Last column: magnetic moment on the atom in μB.
Atoms (fractional coordinates):
1 Pu 0.000 0.500 0.500  5.42
2 Pu 0.500 0.000 0.500  5.42
3 Pu 0.500 0.500 0.000  5.42
4 U 0.000 0.000 0.000  2.66
5 Se 0.500 0.000 0.000  -0.08
6 Se 0.000 0.500 0.000  -0.08
7 Se 0.000 0.000 0.500  -0.08
8 Se 0.500 0.500 0.500  -0.10



# 8
Density functional theory data (PBE) for an optimized crystal structure of Pu2U2Se7.

Computed properties:
The crystal system is cubic. As for the energy above the most stable polymorph in this dataset: 0.1329 eV per atom.

a = 9.624 Å, b = 9.624 Å, c = 9.624 Å
α = 60.00°, β = 60.00°, γ = 60.00°
Last column: magnetic moment on the atom in μB.
Atoms (fractional coordinates):
1 Pu 0.625 0.125 0.125  5.13
2 Pu 0.125 0.625 0.125  5.13
3 Pu 0.125 0.125 0.625  5.13
4 Pu 0.125 0.125 0.125  5.13
5 U 0.625 0.625 0.625  -2.21
6 U 0.625 0.625 0.125  -2.21
7 U 0.625 0.125 0.625  -2.21
8 U 0.125 0.625 0.625  -2.21
9 Se 0.242 0.242 0.758  -0.03
10 Se 0.242 0.758 0.242  -0.03
11 Se 0.492 0.008 0.492  -0.03
12 Se 0.492 0.492 0.008  -0.03
13 Se 0.750 0.750 0.750  0.06
14 Se 0.758 0.242 0.242  -0.03
15 Se 0.492 0.008 0.008  -0.03
16 Se 0.008 0.492 0.492  -0.03
17 Se 0.008 0.008 0.492  -0.03
18 Se 0.008 0.492 0.008  -0.03
19 Se 0.242 0.758 0.758  -0.03
20 Se 0.500 0.500 0.500  0.06
21 Se 0.758 0.242 0.758  -0.03
22 Se 0.758 0.758 0.242  -0.03



# 9
Density functional theory data (PBE) for an optimized crystal structure of PuUSe4.

Computed properties:
The crystal system is monoclinic. As for the energy above the most stable polymorph in this dataset: 0.0000 eV per atom.

a = 6.779 Å, b = 6.779 Å, c = 6.805 Å
α = 90.00°, β = 90.09°, γ = 90.00°
Last column: magnetic moment on the atom in μB.
Atoms (fractional coordinates):
1 Pu 0.000 0.000 0.000  -4.92
2 Pu 0.500 0.500 0.000  -4.92
3 U 0.500 0.000 0.500  -1.69
4 U 0.000 0.500 0.500  -1.69
5 Se 0.750 0.750 0.255  0.14
6 Se 0.750 0.250 0.745  0.14
7 Se 0.250 0.250 0.255  0.14
8 Se 0.250 0.750 0.745  0.14
9 Se 0.250 0.250 0.745  0.14
10 Se 0.250 0.750 0.255  0.14
11 Se 0.750 0.750 0.745  0.14
12 Se 0.750 0.250 0.255  0.14



# 10
Density functional theory data (PBE) for an optimized crystal structure of PuU3Se4.

Computed properties:
The crystal system is cubic. As for the energy above the most stable polymorph in this dataset: 0.0305 eV per atom.

a = 5.774 Å, b = 5.774 Å, c = 5.774 Å
α = 90.00°, β = 90.00°, γ = 90.00°
Last column: magnetic moment on the atom in μB.
Atoms (fractional coordinates):
1 Pu 0.000 0.000 0.000  -5.23
2 U 0.000 0.500 0.500  2.47
3 U 0.500 0.000 0.500  2.47
4 U 0.500 0.500 0.000  2.47
5 Se 0.500 0.000 0.000  -0.02
6 Se 0.000 0.500 0.000  -0.02
7 Se 0.000 0.000 0.500  -0.02
8 Se 0.500 0.500 0.500  -0.06



# 11
Density functional theory data (PBE) for an optimized crystal structure of Pu2USe6.

Computed properties:
The crystal system is tetragonal. As for the energy above the most stable polymorph in this dataset: 0.0020 eV per atom.

a = 6.577 Å, b = 6.577 Å, c = 12.869 Å
α = 90.00°, β = 90.00°, γ = 90.00°
Last column: magnetic moment on the atom in μB.
Atoms (fractional coordinates):
1 Pu 0.000 0.000 0.334  4.91
2 Pu 0.500 0.500 0.834  4.91
3 Pu 0.500 0.500 0.166  4.91
4 Pu 0.000 0.000 0.666  4.91
5 U 0.000 0.000 0.000  1.32
6 U 0.500 0.500 0.500  1.32
7 Se 0.307 0.307 0.339  -0.15
8 Se 0.693 0.693 0.339  -0.15
9 Se 0.193 0.807 0.839  -0.15
10 Se 0.807 0.193 0.839  -0.15
11 Se 0.193 0.807 0.161  -0.15
12 Se 0.807 0.193 0.161  -0.15
13 Se 0.307 0.307 0.661  -0.15
14 Se 0.693 0.693 0.661  -0.15
15 Se 0.298 0.298 0.000  -0.17
16 Se 0.702 0.702 0.000  -0.17
17 Se 0.202 0.798 0.500  -0.17
18 Se 0.798 0.202 0.500  -0.17



# 12
Density functional theory data (PBE) for an optimized crystal structure of PuUSe6.

Computed properties:
The crystal system is orthorhombic.

a = 4.000 Å, b = 4.001 Å, c = 12.539 Å
α = 90.00°, β = 99.18°, γ = 90.00°
Last column: magnetic moment on the atom in μB.
Atoms (fractional coordinates):
1 Pu 0.828 0.000 0.655  4.99
2 U 0.173 0.500 0.346  2.16
3 Se 0.584 0.500 0.167  -0.02
4 Se 0.418 0.000 0.835  -0.08
5 Se 0.293 0.500 0.586  -0.13
6 Se 0.704 0.000 0.408  -0.09
7 Se 0.918 0.500 0.835  -0.08
8 Se 0.084 0.000 0.167  -0.02



# 13
Density functional theory data (PBE) for an optimized crystal structure of Pu3U4Se8.

Computed properties:
The crystal system is monoclinic.

a = 8.106 Å, b = 8.160 Å, c = 8.160 Å
α = 90.10°, β = 119.71°, γ = 119.71°
Last column: magnetic moment on the atom in μB.
Atoms (fractional coordinates):
1 Pu 0.500 0.500 0.000  5.23
2 Pu 0.500 0.000 0.500  5.23
3 Pu 0.500 0.500 0.500  -5.31
4 U 0.500 0.000 0.000  -2.43
5 U 0.000 0.500 0.000  -2.47
6 U 0.000 0.000 0.000  -2.51
7 U 0.000 0.000 0.500  -2.47
8 Se 0.505 0.251 0.251  0.01
9 Se 0.000 0.745 0.255  0.01
10 Se 0.999 0.255 0.255  0.08
11 Se 0.500 0.750 0.250  0.02
12 Se 0.500 0.250 0.750  0.02
13 Se 0.001 0.745 0.745  0.08
14 Se 0.000 0.255 0.745  0.01
15 Se 0.495 0.749 0.749  0.01



# 14
Density functional theory data (PBE) for an optimized crystal structure of Pu2USe6.

Computed properties:
The crystal system is trigonal. As for the energy above the most stable polymorph in this dataset: 0.0000 eV per atom.

a = 4.594 Å, b = 7.443 Å, c = 7.443 Å
α = 120.00°, β = 90.00°, γ = 90.00°
Last column: magnetic moment on the atom in μB.
Atoms (fractional coordinates):
1 Pu 0.267 0.667 0.333  4.89
2 Pu 0.733 0.333 0.667  4.89
3 U 0.500 0.000 0.000  1.46
4 Se 0.246 0.625 0.708  -0.19
5 Se 0.246 0.083 0.375  -0.19
6 Se 0.246 0.292 0.917  -0.19
7 Se 0.754 0.375 0.292  -0.19
8 Se 0.754 0.917 0.625  -0.19
9 Se 0.754 0.708 0.083  -0.19



# 15
Density functional theory data (PBE) for an optimized crystal structure of PuUSe4.

Computed properties:
The crystal system is tetragonal. As for the energy above the most stable polymorph in this dataset: 0.2043 eV per atom.

a = 6.454 Å, b = 6.454 Å, c = 7.293 Å
α = 90.00°, β = 90.00°, γ = 90.00°
Last column: magnetic moment on the atom in μB.
Atoms (fractional coordinates):
1 Pu 0.000 0.000 0.500  5.08
2 Pu 0.500 0.500 0.500  5.08
3 U 0.500 0.500 0.000  -1.78
4 U 0.000 0.000 0.000  -1.78
5 Se 0.296 0.796 0.758  -0.01
6 Se 0.796 0.704 0.758  -0.01
7 Se 0.704 0.204 0.758  -0.01
8 Se 0.796 0.704 0.242  -0.01
9 Se 0.204 0.296 0.758  -0.01
10 Se 0.296 0.796 0.242  -0.01
11 Se 0.204 0.296 0.242  -0.01
12 Se 0.704 0.204 0.242  -0.01



# 16
Density functional theory data (PBE) for an optimized crystal structure of PuU2Se4.

Computed properties:
The crystal system is orthorhombic.

a = 3.970 Å, b = 7.010 Å, c = 13.840 Å
α = 90.00°, β = 90.00°, γ = 106.45°
Last column: magnetic moment on the atom in μB.
Atoms (fractional coordinates):
1 Pu 0.609 0.219 0.750  -5.41
2 Pu 0.391 0.781 0.250  -5.41
3 U 0.139 0.277 0.438  2.50
4 U 0.861 0.723 0.938  2.50
5 U 0.139 0.277 0.062  2.50
6 U 0.861 0.723 0.562  2.50
7 Se 0.777 0.554 0.129  -0.02
8 Se 0.777 0.554 0.371  -0.02
9 Se 0.223 0.446 0.871  -0.02
10 Se 0.223 0.446 0.629  -0.02
11 Se 0.947 0.895 0.750  -0.01
12 Se 0.053 0.105 0.250  -0.01
13 Se 0.500 0.000 0.000  -0.06
14 Se 0.500 0.000 0.500  -0.06



# 17
Density functional theory data (PBE) for an optimized crystal structure of PuU4Se6.

Computed properties:
The crystal system is trigonal.

a = 8.100 Å, b = 8.100 Å, c = 8.100 Å
α = 89.17°, β = 89.17°, γ = 90.83°
Last column: magnetic moment on the atom in μB.
Atoms (fractional coordinates):
1 Pu 0.500 0.500 0.500  5.02
2 Pu 0.000 0.000 0.000  5.02
3 U 0.359 0.141 0.250  -2.67
4 U 0.859 0.250 0.359  -2.67
5 U 0.250 0.641 0.141  -2.67
6 U 0.250 0.250 0.750  -2.44
7 U 0.750 0.750 0.250  -2.44
8 U 0.750 0.359 0.859  -2.67
9 U 0.141 0.750 0.641  -2.67
10 U 0.641 0.859 0.750  -2.67
11 Se 0.672 0.062 0.087  0.04
12 Se 0.087 0.328 0.062  0.04
13 Se 0.587 0.438 0.172  0.04
14 Se 0.938 0.087 0.672  0.04
15 Se 0.562 0.172 0.587  0.04
16 Se 0.172 0.413 0.438  0.04
17 Se 0.828 0.587 0.562  0.04
18 Se 0.438 0.828 0.413  0.04
19 Se 0.062 0.913 0.328  0.04
20 Se 0.413 0.562 0.828  0.04
21 Se 0.913 0.672 0.938  0.04
22 Se 0.328 0.938 0.913  0.04



# 18
Density functional theory data (PBE) for an optimized crystal structure of Pu2USe4.

Computed properties:
The crystal system is orthorhombic. As for the energy above the most stable polymorph in this dataset: 0.0521 eV per atom.

a = 4.289 Å, b = 7.402 Å, c = 11.748 Å
α = 90.00°, β = 90.00°, γ = 90.00°
Last column: magnetic moment on the atom in μB.
Atoms (fractional coordinates):
1 Pu 0.500 0.896 0.812  5.46
2 Pu 0.500 0.104 0.188  5.46
3 Pu 0.500 0.396 0.688  5.46
4 Pu 0.500 0.604 0.312  5.46
5 U 0.000 0.000 0.500  2.54
6 U 0.000 0.500 0.000  2.54
7 Se 0.000 0.628 0.777  -0.10
8 Se 0.000 0.372 0.223  -0.10
9 Se 0.000 0.128 0.723  -0.10
10 Se 0.000 0.872 0.277  -0.10
11 Se 0.500 0.751 0.550  -0.09
12 Se 0.500 0.249 0.450  -0.09
13 Se 0.500 0.749 0.050  -0.09
14 Se 0.500 0.251 0.950  -0.09



# 19
Density functional theory data (PBE) for an optimized crystal structure of Pu2USe3.

Computed properties:
The crystal system is orthorhombic. As for the energy above the most stable polymorph in this dataset: 0.1593 eV per atom.

a = 4.015 Å, b = 5.801 Å, c = 7.665 Å
α = 112.24°, β = 90.00°, γ = 90.00°
Last column: magnetic moment on the atom in μB.
Atoms (fractional coordinates):
1 Pu 0.500 0.354 0.707  5.57
2 Pu 0.500 0.646 0.293  5.57
3 U 0.000 0.000 0.000  2.76
4 Se 0.500 0.851 0.701  -0.08
5 Se 0.500 0.149 0.299  -0.08
6 Se 0.000 0.500 0.000  -0.08



# 20
Density functional theory data (PBE) for an optimized crystal structure of PuU4Se5.

Computed properties:
The crystal system is tetragonal.

a = 5.752 Å, b = 7.055 Å, c = 7.055 Å
α = 80.43°, β = 65.94°, γ = 65.94°
Last column: magnetic moment on the atom in μB.
Atoms (fractional coordinates):
1 Pu 0.001 0.000 0.000  5.32
2 U 0.402 0.401 0.797  2.44
3 U 0.803 0.797 0.599  2.44
4 U 0.199 0.203 0.401  2.44
5 U 0.600 0.599 0.203  2.44
6 Se 0.900 0.399 0.803  -0.06
7 Se 0.299 0.803 0.601  -0.06
8 Se 0.703 0.197 0.399  -0.06
9 Se 0.102 0.601 0.197  -0.06
10 Se 0.501 0.000 0.000  -0.07



# 21
Density functional theory data (PBE) for an optimized crystal structure of PuUSe2.

Computed properties:
The crystal system is orthorhombic. As for the energy above the most stable polymorph in this dataset: 0.1336 eV per atom.

a = 4.146 Å, b = 6.894 Å, c = 7.198 Å
α = 90.00°, β = 90.00°, γ = 90.00°
Last column: magnetic moment on the atom in μB.
Atoms (fractional coordinates):
1 Pu 0.500 0.000 0.500  5.62
2 Pu 0.500 0.500 0.500  5.62
3 U 0.000 0.500 0.000  2.85
4 U 0.000 0.000 0.000  2.85
5 Se 0.500 0.750 0.837  -0.07
6 Se 0.500 0.250 0.163  -0.07
7 Se 0.000 0.250 0.671  -0.08
8 Se 0.000 0.750 0.329  -0.08



no.,formation energy (no corrections) (eV per atom)
1,-1.249
2,-1.158
3,-1.139
4,-0.333
5,-1.121
6,-0.867
7,-1.383
8,-1.116
9,-1.187
10,-1.091
11,-1.129
12,-0.939
13,-1.224
14,-1.131
15,-0.983
16,-1.164
17,-0.920
18,-1.367
19,-1.141
20,-1.086
21,-1.115